(1)
! BiTeSe2Br (PBE-GGA, optimized geometry); values from VASP
&SYSTEM
  ibrav = 0, nat = 5, ntyp = 4
/
ATOMIC_SPECIES
Se 78.96 Se.upf
Te 127.60 Te.upf
Bi 208.98 Bi.upf
Br 79.90 Br.upf
ATOMIC_POSITIONS crystal
Se 0.0000 0.5000 0.0000
Se 0.5000 0.0000 0.0000
Te 0.0000 0.0000 0.0000
Bi 0.5000 0.5000 0.5000
Br 0.0000 0.0000 0.5000
CELL_PARAMETERS angstrom
5.4639 0.0000 0.0000
0.0000 5.4639 0.0000
0.0000 0.0000 5.3187
! **Energy relative to the elements, uncorrected**: 31.6 kJ per mole of atoms
! **Volume**: 158.8 Å³/f.u.
! **Raw total energy**: -2.805 eV per atom
! **Relative energy among the computed polymorphs**: 0.000 eV per atom

---

(2)
! BaZnSb (PBE-GGA, optimized geometry); values from VASP
&SYSTEM
  ibrav = 0, nat = 3, ntyp = 3
/
ATOMIC_SPECIES
Ba 137.33 Ba.upf
Sb 121.76 Sb.upf
Zn 65.41 Zn.upf
ATOMIC_POSITIONS crystal
Ba 0.0000 0.0000 0.9846
Sb 0.6667 0.3333 0.4710
Zn 0.3333 0.6667 0.5444
CELL_PARAMETERS angstrom
4.6564 0.0000 0.0000
-2.3282 4.0326 0.0000
0.0000 0.0000 5.0766
! **Energy relative to the elements, uncorrected**: -61.7 kJ per mole of atoms
! **Volume**: 95.3 Å³/f.u.
! **Raw total energy**: -3.080 eV per atom
! **Relative energy among the computed polymorphs**: 0.000 eV per atom

---

(3)
! Cs2UMn2Se4 (PBE-GGA, optimized geometry); values from VASP
&SYSTEM
  ibrav = 0, nat = 9, ntyp = 4
/
ATOMIC_SPECIES
Se 78.96 Se.upf
U 238.03 U.upf
Mn 54.94 Mn.upf
Cs 132.91 Cs.upf
ATOMIC_POSITIONS crystal
Se 0.5183 0.7741 0.0367
Se 0.8035 0.8441 0.6070
Se 0.1965 0.1559 0.3930
Se 0.4817 0.2259 0.9633
U 0.0000 0.0000 0.0000
Mn 0.6718 0.9776 0.3437
Mn 0.3282 0.0224 0.6563
Cs 0.1358 0.5561 0.2717
Cs 0.8642 0.4439 0.7283
CELL_PARAMETERS angstrom
4.1912 0.0000 0.0000
0.0000 8.5586 0.6447
-2.0956 -2.8348 7.1791
! **Energy relative to the elements, uncorrected**: -86.3 kJ per mole of atoms
! **Volume**: 265.2 Å³/f.u.
! **Raw total energy**: -5.925 eV per atom

---

(4)
! Y2MnGe (PBE-GGA, optimized geometry); values from VASP
&SYSTEM
  ibrav = 0, nat = 16, ntyp = 3
/
ATOMIC_SPECIES
Ge 72.64 Ge.upf
Y 88.91 Y.upf
Mn 54.94 Mn.upf
ATOMIC_POSITIONS crystal
Ge 0.6613 0.5026 0.2666
Ge 0.6613 0.0026 0.7666
Ge 0.3387 0.5026 0.7334
Ge 0.3387 0.0026 0.2334
Y 0.8755 0.4936 0.8061
Y 0.0000 0.0530 0.0000
Y 0.1245 0.9936 0.6939
Y 0.0000 0.5530 0.5000
Y 0.5000 0.7143 0.0000
Y 0.5000 0.2143 0.5000
Y 0.8755 0.9936 0.3061
Y 0.1245 0.4936 0.1939
Mn 0.4455 0.2191 0.9061
Mn 0.5545 0.2191 0.0939
Mn 0.5545 0.7191 0.5939
Mn 0.4455 0.7191 0.4061
CELL_PARAMETERS angstrom
5.7065 0.0000 -0.0132
0.0000 5.9326 0.0000
-2.4282 0.0000 10.6216
! **Calculated formation energy**: -1.32 eV per formula unit
! **Volume**: 89.9 Å³/f.u.
! **Raw total energy**: -7.008 eV per atom

---

(5)
! Ba2AlCrTe5 (PBE-GGA, optimized geometry); values from VASP
&SYSTEM
  ibrav = 0, nat = 18, ntyp = 4
/
ATOMIC_SPECIES
Ba 137.33 Ba.upf
Al 26.98 Al.upf
Cr 52.00 Cr.upf
Te 127.60 Te.upf
ATOMIC_POSITIONS crystal
Ba 0.1242 0.2484 0.6864
Ba 0.8758 0.7516 0.1864
Ba 0.1274 0.2548 0.3103
Ba 0.8726 0.7452 0.8103
Al 0.4277 0.8555 0.4345
Al 0.5723 0.1445 0.9345
Cr 0.2063 0.4126 0.0247
Cr 0.7937 0.5874 0.5247
Te 0.9339 0.8677 0.5472
Te 0.6971 0.3942 0.8885
Te 0.7108 0.4216 0.1534
Te 0.0661 0.1323 0.0472
Te 0.4959 0.9917 0.2775
Te 0.5041 0.0083 0.7775
Te 0.3029 0.6058 0.3885
Te 0.2892 0.5784 0.6534
Te 0.6600 0.3200 0.5014
Te 0.3400 0.6800 0.0014
CELL_PARAMETERS angstrom
4.3940 0.0000 0.0000
-2.1970 10.3213 0.0000
0.0000 0.0000 13.7776
! **Energy relative to the elements, uncorrected**: -90.3 kJ per mole of atoms
! **Volume**: 312.4 Å³/f.u.
! **Raw total energy**: -4.593 eV per atom

---

(6)
! Tl2CdRuO4 (PBE-GGA, optimized geometry); values from VASP
&SYSTEM
  ibrav = 0, nat = 8, ntyp = 4
/
ATOMIC_SPECIES
O 16.00 O.upf
Cd 112.41 Cd.upf
Tl 204.38 Tl.upf
Ru 101.07 Ru.upf
ATOMIC_POSITIONS crystal
O 0.8793 0.4959 0.2897
O 0.4114 0.7960 0.2929
O 0.6776 0.5920 0.6530
O 0.9753 0.0608 0.6515
Cd 0.9860 0.4857 0.9719
Tl 0.2358 0.2351 0.4716
Tl 0.4858 0.9857 0.9718
Ru 0.7358 0.7358 0.4718
CELL_PARAMETERS angstrom
6.3325 0.0010 -0.0078
-0.0005 6.3320 -0.0069
-3.1662 -3.1673 3.6446
! **Energy relative to the elements, uncorrected**: -64.0 kJ per mole of atoms
! **Volume**: 145.8 Å³/f.u.
! **Raw total energy**: -5.008 eV per atom

---

Taking the records one at a time from the top gives mass density values of 6.0; 5.7; 5.8; 5.6; 5.3; 7.8 g/cm³.